Entry 1:
The following is a DFT calculation (PBE) of a relaxed Pm3BiS6 crystal.

a = 8.753 Å, b = 8.753 Å, c = 6.975 Å
α = 90.00°, β = 90.00°, γ = 103.14°
Positions (direct):
Pm 0.096 0.904 0.500
Pm 0.213 0.414 0.407
Pm 0.414 0.213 0.907
Pm 0.586 0.787 0.407
Pm 0.787 0.586 0.907
Pm 0.904 0.096 0.000
Bi 0.323 0.677 0.891
Bi 0.677 0.323 0.391
S 0.064 0.597 0.688
S 0.136 0.193 0.707
S 0.193 0.136 0.207
S 0.270 0.730 0.270
S 0.403 0.936 0.688
S 0.491 0.509 0.646
S 0.509 0.491 0.146
S 0.597 0.064 0.188
S 0.730 0.270 0.770
S 0.807 0.864 0.707
S 0.864 0.807 0.207
S 0.936 0.403 0.188

Computed properties:
formation energy (no corrections) = -1606 meV/atom
total energy = -5.8954 eV per atom
crystal system = orthorhombic


Entry 2:
The following is a DFT calculation (PBE) of a relaxed Pm2Bi2S7 crystal.

a = 8.771 Å, b = 8.771 Å, c = 8.771 Å
α = 153.98°, β = 67.82°, γ = 118.61°
Positions (direct):
Pm 0.000 0.000 0.000
Pm 0.544 0.044 0.500
Bi 0.456 0.209 0.247
Bi 0.962 0.209 0.753
S 0.182 0.545 0.637
S 0.242 0.919 0.323
S 0.324 0.324 0.000
S 0.597 0.919 0.677
S 0.615 0.721 0.893
S 0.828 0.721 0.107
S 0.908 0.545 0.363

Computed properties:
formation energy (no corrections) = -882 meV/atom
total energy = -5.0782 eV per atom
crystal system = orthorhombic


Entry 3:
The following is a DFT calculation (PBE) of a relaxed PmBiS crystal.

a = 13.636 Å, b = 3.842 Å, c = 6.652 Å
α = 90.00°, β = 90.00°, γ = 90.00°
Positions (direct):
Pm 0.000 0.000 0.000
Pm 0.000 0.500 0.500
Pm 0.500 0.000 0.002
Pm 0.500 0.500 0.502
Bi 0.190 0.000 0.333
Bi 0.190 0.500 0.833
Bi 0.810 0.000 0.333
Bi 0.810 0.500 0.833
S 0.376 0.000 0.668
S 0.376 0.500 0.168
S 0.624 0.000 0.668
S 0.624 0.500 0.168

Computed properties:
formation energy (no corrections) = -796 meV/atom
total energy = -5.0486 eV per atom
crystal system = orthorhombic


Entry 4:
The following is a DFT calculation (PBE) of a relaxed Pm2BiS crystal.

a = 4.228 Å, b = 4.228 Å, c = 22.106 Å
α = 90.00°, β = 90.00°, γ = 120.00°
Positions (direct):
Pm 0.000 0.000 0.000
Pm 0.000 0.000 0.190
Pm 0.333 0.667 0.667
Pm 0.333 0.667 0.857
Pm 0.667 0.333 0.333
Pm 0.667 0.333 0.524
Bi 0.000 0.000 0.762
Bi 0.333 0.667 0.428
Bi 0.667 0.333 0.095
S 0.000 0.000 0.592
S 0.333 0.667 0.259
S 0.667 0.333 0.926

Computed properties:
formation energy (no corrections) = -1367 meV/atom
total energy = -5.7447 eV per atom
crystal system = trigonal


Entry 5:
The following is a DFT calculation (PBE) of a relaxed Pm5Bi4S crystal.

a = 7.753 Å, b = 7.753 Å, c = 7.753 Å
α = 99.73°, β = 99.73°, γ = 131.46°
Positions (direct):
Pm 0.000 0.000 0.000
Pm 0.222 0.603 0.816
Pm 0.406 0.222 0.619
Pm 0.603 0.788 0.381
Pm 0.788 0.406 0.184
Bi 0.098 0.308 0.396
Bi 0.308 0.912 0.210
Bi 0.702 0.098 0.790
Bi 0.912 0.702 0.604
S 0.507 0.507 0.000

Computed properties:
formation energy (no corrections) = -1110 meV/atom
total energy = -5.4504 eV per atom
crystal system = tetragonal


Entry 6:
The following is a DFT calculation (PBE) of a relaxed Pm6BiS4 crystal.

a = 6.972 Å, b = 6.972 Å, c = 20.715 Å
α = 90.00°, β = 90.00°, γ = 145.36°
Positions (direct):
Pm 0.000 0.000 0.000
Pm 0.000 0.000 0.500
Pm 0.157 0.843 0.750
Pm 0.272 0.728 0.084
Pm 0.272 0.728 0.416
Pm 0.462 0.538 0.656
Pm 0.462 0.538 0.844
Pm 0.538 0.462 0.156
Pm 0.538 0.462 0.344
Pm 0.728 0.272 0.584
Pm 0.728 0.272 0.916
Pm 0.843 0.157 0.250
Bi 0.159 0.841 0.250
Bi 0.841 0.159 0.750
S 0.095 0.905 0.622
S 0.095 0.905 0.878
S 0.362 0.638 0.539
S 0.362 0.638 0.961
S 0.638 0.362 0.039
S 0.638 0.362 0.461
S 0.905 0.095 0.122
S 0.905 0.095 0.378

Computed properties:
formation energy (no corrections) = -1652 meV/atom
total energy = -6.0968 eV per atom
crystal system = orthorhombic


Entry 7:
The following is a DFT calculation (PBE) of a relaxed Pm5Bi4S crystal.

a = 16.117 Å, b = 16.117 Å, c = 16.117 Å
α = 163.96°, β = 163.96°, γ = 22.76°
Positions (direct):
Pm 0.000 0.000 0.000
Pm 0.201 0.201 0.000
Pm 0.409 0.409 0.000
Pm 0.591 0.591 0.000
Pm 0.799 0.799 0.000
Bi 0.099 0.099 0.000
Bi 0.304 0.304 0.000
Bi 0.696 0.696 0.000
Bi 0.901 0.901 0.000
S 0.500 0.500 0.000

Computed properties:
formation energy (no corrections) = -1096 meV/atom
total energy = -5.4361 eV per atom
crystal system = tetragonal


Entry 8:
The following is a DFT calculation (PBE) of a relaxed Pm2BiS crystal.

a = 4.301 Å, b = 4.301 Å, c = 21.125 Å
α = 90.00°, β = 90.00°, γ = 120.00°
Positions (direct):
Pm 0.000 0.000 0.217
Pm 0.000 0.000 0.783
Pm 0.333 0.667 0.406
Pm 0.333 0.667 0.929
Pm 0.667 0.333 0.071
Pm 0.667 0.333 0.594
Bi 0.000 0.000 0.500
Bi 0.333 0.667 0.688
Bi 0.667 0.333 0.312
S 0.000 0.000 0.000
S 0.333 0.667 0.145
S 0.667 0.333 0.855

Computed properties:
formation energy (no corrections) = -1426 meV/atom
total energy = -5.8032 eV per atom
crystal system = trigonal


Entry 9:
The following is a DFT calculation (PBE) of a relaxed Pm2BiS5 crystal.

a = 7.466 Å, b = 7.466 Å, c = 13.378 Å
α = 90.00°, β = 90.00°, γ = 137.50°
Positions (direct):
Pm 0.157 0.843 0.569
Pm 0.157 0.843 0.931
Pm 0.843 0.157 0.069
Pm 0.843 0.157 0.431
Bi 0.166 0.834 0.250
Bi 0.834 0.166 0.750
S 0.040 0.960 0.101
S 0.040 0.960 0.399
S 0.270 0.730 0.750
S 0.296 0.704 0.085
S 0.296 0.704 0.415
S 0.704 0.296 0.585
S 0.704 0.296 0.915
S 0.730 0.270 0.250
S 0.960 0.040 0.601
S 0.960 0.040 0.899

Computed properties:
formation energy (no corrections) = -1239 meV/atom
total energy = -5.4919 eV per atom
crystal system = orthorhombic


Entry 10:
The following is a DFT calculation (PBE) of a relaxed PmBiS crystal.

a = 3.702 Å, b = 3.702 Å, c = 12.185 Å
α = 90.00°, β = 90.00°, γ = 90.00°
Positions (direct):
Pm 0.000 0.000 0.000
Pm 0.500 0.500 0.500
Bi 0.000 0.000 0.298
Bi 0.500 0.500 0.798
S 0.000 0.000 0.579
S 0.500 0.500 0.079

Computed properties:
formation energy (no corrections) = -1092 meV/atom
total energy = -5.3450 eV per atom
crystal system = tetragonal


Entry 11:
The following is a DFT calculation (PBE) of a relaxed PmBiS2 crystal.

a = 4.025 Å, b = 4.025 Å, c = 26.049 Å
α = 90.00°, β = 90.00°, γ = 120.00°
Positions (direct):
Pm 0.000 0.000 0.000
Pm 0.333 0.667 0.667
Pm 0.667 0.333 0.333
Bi 0.000 0.000 0.500
Bi 0.333 0.667 0.167
Bi 0.667 0.333 0.833
S 0.000 0.000 0.393
S 0.000 0.000 0.607
S 0.333 0.667 0.060
S 0.333 0.667 0.274
S 0.667 0.333 0.726
S 0.667 0.333 0.940

Computed properties:
formation energy (no corrections) = -1201 meV/atom
total energy = -5.4227 eV per atom
crystal system = trigonal


Entry 12:
The following is a DFT calculation (PBE) of a relaxed Pm2BiS crystal.

a = 7.544 Å, b = 7.544 Å, c = 7.544 Å
α = 90.00°, β = 90.00°, γ = 90.00°
Positions (direct):
Pm 0.250 0.250 0.250
Pm 0.250 0.250 0.750
Pm 0.250 0.750 0.250
Pm 0.250 0.750 0.750
Pm 0.750 0.250 0.250
Pm 0.750 0.250 0.750
Pm 0.750 0.750 0.250
Pm 0.750 0.750 0.750
Bi 0.000 0.000 0.000
Bi 0.000 0.500 0.500
Bi 0.500 0.000 0.500
Bi 0.500 0.500 0.000
S 0.000 0.000 0.500
S 0.000 0.500 0.000
S 0.500 0.000 0.000
S 0.500 0.500 0.500

Computed properties:
formation energy (no corrections) = -1052 meV/atom
total energy = -5.4293 eV per atom
crystal system = cubic


- Which of these has the highest total energy?
  number 3


- Look up the total energy of the fifth one.
  -5.4504 eV per atom